Here is a geometry-optimized VBNO2 structure from Alexandria. Energies are from PBE with a Hubbard U.

a = 3.490 Å, b = 3.490 Å, c = 3.182 Å
α = 90.00°, β = 90.00°, γ = 90.00°
Last column: magnetic moment on the atom in μB.
Fractional coordinates of all 5 atoms:
1 B 0.000 0.000 0.000  0.03
2 N 0.000 0.000 0.500  -0.61
3 O 0.000 0.500 0.000  -0.21
4 O 0.500 0.000 0.000  -0.21
5 V 0.500 0.500 0.500  2.17

Summary:
Total magnetization ... 1.1 Bohr magnetons per cell
Space-group type ... No. 123
Final energy ... -6.80 eV per atom